*A*
Below is a geometry-optimized Sn3Se4 structure, with properties calculated at the PBE level.

abc: 15.5766 4.0608 7.0683
angles: 90.00 115.84 90.00
Fractional coordinates of all 14 atoms:
Sn 0.0000 0.0000 0.0000
Sn 0.2364 0.5000 0.7212
Sn 0.2636 0.0000 0.2788
Sn 0.5000 0.5000 0.0000
Sn 0.7364 0.0000 0.7212
Sn 0.7636 0.5000 0.2788
Se 0.1252 0.0000 0.4522
Se 0.1294 0.5000 0.9772
Se 0.3706 0.0000 0.0228
Se 0.3748 0.5000 0.5478
Se 0.6252 0.5000 0.4522
Se 0.6294 0.0000 0.9772
Se 0.8706 0.5000 0.0228
Se 0.8748 0.0000 0.5478

Values from the calculation:
magnetic moment	0.0	μB per formula unit



*B*
Below is a geometry-optimized Sn3Se4 structure, with properties calculated at the PBE level.

abc: 13.5372 13.5372 13.5372
angles: 17.49 17.49 17.49
Fractional coordinates of all 7 atoms:
Sn 0.0000 0.0000 0.0000
Sn 0.2424 0.2424 0.2424
Sn 0.7576 0.7576 0.7576
Se 0.1274 0.1274 0.1274
Se 0.3751 0.3751 0.3751
Se 0.6249 0.6249 0.6249
Se 0.8726 0.8726 0.8726

Values from the calculation:
magnetic moment	0.0	μB per formula unit



Tell me which of them is the most stable. Sure, it is *B*.



*A*
Below is a geometry-optimized SrSnSe3 structure, with properties calculated at the PBE level.

abc: 8.0680 4.1898 8.5388
angles: 90.00 96.94 90.00
Fractional coordinates of all 10 atoms:
Sr 0.1340 0.2500 0.3008
Sr 0.8660 0.7500 0.6992
Sn 0.3279 0.7500 0.8527
Sn 0.6721 0.2500 0.1473
Se 0.1180 0.2500 0.9144
Se 0.2189 0.7500 0.5545
Se 0.4287 0.7500 0.1684
Se 0.5713 0.2500 0.8316
Se 0.7811 0.2500 0.4455
Se 0.8820 0.7500 0.0856

Values from the calculation:
magnetic moment	0.0	μB per formula unit



*B*
Below is a geometry-optimized SrSnSe3 structure, with properties calculated at the PBE level.

abc: 8.5319 6.7414 11.9395
angles: 90.00 109.16 90.00
Fractional coordinates of all 20 atoms:
Sr 0.2013 0.2311 0.1294
Sr 0.2013 0.2689 0.6294
Sr 0.7987 0.7311 0.3706
Sr 0.7987 0.7689 0.8706
Sn 0.4024 0.7407 0.0118
Sn 0.4024 0.7593 0.5118
Sn 0.5976 0.2407 0.4882
Sn 0.5976 0.2593 0.9882
Se 0.1393 0.7217 0.0702
Se 0.1393 0.7783 0.5702
Se 0.3003 0.0977 0.8992
Se 0.3003 0.4023 0.3992
Se 0.4505 0.5633 0.8321
Se 0.4505 0.9367 0.3321
Se 0.5495 0.0633 0.6679
Se 0.5495 0.4367 0.1679
Se 0.6997 0.5977 0.6008
Se 0.6997 0.9023 0.1008
Se 0.8607 0.2217 0.4298
Se 0.8607 0.2783 0.9298

Values from the calculation:
magnetic moment	0.0	μB per formula unit



Tell me which of them is the most stable. Sure, it is *B*.



*A*
Below is a geometry-optimized SrSnSe3 structure, with properties calculated at the PBE level.

abc: 5.3205 5.3205 5.3205
angles: 90.00 90.00 90.00
Fractional coordinates of all 5 atoms:
Sr 0.0000 0.0000 0.0000
Sn 0.5000 0.5000 0.5000
Se 0.0000 0.5000 0.5000
Se 0.5000 0.0000 0.5000
Se 0.5000 0.5000 0.0000

Values from the calculation:
magnetic moment	0.0	μB per formula unit



*B*
Below is a geometry-optimized SrSnSe3 structure, with properties calculated at the PBE level.

abc: 5.6904 5.6904 5.6904
angles: 90.00 90.00 90.00
Fractional coordinates of all 5 atoms:
Sr 0.0000 0.0000 0.0000
Sn 0.5000 0.5000 0.5000
Se 0.0000 0.0000 0.5000
Se 0.0000 0.5000 0.0000
Se 0.5000 0.0000 0.0000

Values from the calculation:
magnetic moment	1.7	μB per formula unit



Tell me which of them is the most stable. Sure, it is *A*.



*A*
Below is a geometry-optimized Sr2SnSe4 structure, with properties calculated at the PBE level.

abc: 10.6430 6.6358 6.6358
angles: 110.03 90.00 90.00
Fractional coordinates of all 14 atoms:
Sr 0.0000 0.0000 0.0000
Sr 0.2500 0.6475 0.2641
Sr 0.5000 0.0000 0.0000
Sr 0.7500 0.2641 0.6475
Sn 0.2500 0.2465 0.6963
Sn 0.7500 0.6963 0.2465
Se 0.0541 0.4389 0.8964
Se 0.2500 0.1652 0.2898
Se 0.2500 0.8747 0.7446
Se 0.4459 0.4389 0.8964
Se 0.5541 0.8964 0.4389
Se 0.7500 0.2898 0.1652
Se 0.7500 0.7446 0.8747
Se 0.9459 0.8964 0.4389

Values from the calculation:
magnetic moment	0.0	μB per formula unit



*B*
Below is a geometry-optimized Sr2SnSe4 structure, with properties calculated at the PBE level.

abc: 7.3237 7.2821 8.5640
angles: 90.00 107.30 90.00
Fractional coordinates of all 14 atoms:
Sr 0.2283 0.2500 0.0598
Sr 0.2348 0.2500 0.5564
Sr 0.7652 0.7500 0.4436
Sr 0.7717 0.7500 0.9402
Sn 0.2422 0.7500 0.8097
Sn 0.7578 0.2500 0.1903
Se 0.0020 0.5115 0.2534
Se 0.0020 0.9885 0.2534
Se 0.4321 0.7500 0.6071
Se 0.4368 0.7500 0.1076
Se 0.5632 0.2500 0.8924
Se 0.5679 0.2500 0.3929
Se 0.9980 0.0115 0.7466
Se 0.9980 0.4885 0.7466

Values from the calculation:
magnetic moment	0.0	μB per formula unit



Tell me which of them is the most stable. Sure, it is *A*.



*A*
Below is a geometry-optimized SrSn3Se structure, with properties calculated at the PBE level.

abc: 6.0941 6.0941 6.0941
angles: 90.00 90.00 90.00
Fractional coordinates of all 5 atoms:
Sr 0.0000 0.0000 0.0000
Sn 0.0000 0.0000 0.5000
Sn 0.0000 0.5000 0.0000
Sn 0.5000 0.0000 0.0000
Se 0.5000 0.5000 0.5000

Values from the calculation:
magnetic moment	1.7	μB per formula unit



*B*
Below is a geometry-optimized SrSn3Se structure, with properties calculated at the PBE level.

abc: 5.5921 5.5921 5.5921
angles: 90.00 90.00 90.00
Fractional coordinates of all 5 atoms:
Sr 0.0000 0.0000 0.0000
Sn 0.0000 0.5000 0.5000
Sn 0.5000 0.0000 0.5000
Sn 0.5000 0.5000 0.0000
Se 0.5000 0.5000 0.5000

Values from the calculation:
magnetic moment	0.0	μB per formula unit



Tell me which of them is the most stable. Sure, it is *B*.



*A*
Below is a geometry-optimized SrSn2Se3 structure, with properties calculated at the PBE level.

abc: 4.3582 6.1323 13.0945
angles: 90.00 90.00 90.00
Fractional coordinates of all 12 atoms:
Sr 0.0000 0.0000 0.0000
Sr 0.5000 0.5000 0.5000
Sn 0.0000 0.0000 0.3345
Sn 0.0000 0.0000 0.6655
Sn 0.5000 0.5000 0.1655
Sn 0.5000 0.5000 0.8345
Se 0.0000 0.5000 0.0000
Se 0.0000 0.5000 0.3291
Se 0.0000 0.5000 0.6709
Se 0.5000 0.0000 0.1709
Se 0.5000 0.0000 0.5000
Se 0.5000 0.0000 0.8291

Values from the calculation:
magnetic moment	0.0	μB per formula unit



*B*
Below is a geometry-optimized SrSn2Se3 structure, with properties calculated at the PBE level.

abc: 4.0990 11.2503 7.5771
angles: 90.00 90.00 90.00
Fractional coordinates of all 12 atoms:
Sr 0.0000 0.1314 0.0000
Sr 0.0000 0.8686 0.5000
Sn 0.0000 0.1836 0.4694
Sn 0.0000 0.8164 0.9694
Sn 0.5000 0.4993 0.4988
Sn 0.5000 0.5007 0.9988
Se 0.0000 0.3756 0.6921
Se 0.0000 0.6244 0.1921
Se 0.5000 0.0619 0.6924
Se 0.5000 0.2929 0.2074
Se 0.5000 0.7071 0.7074
Se 0.5000 0.9381 0.1924

Values from the calculation:
magnetic moment	0.0	μB per formula unit



Tell me which of them is the most stable. Sure, it is *A*.



*A*
Below is a geometry-optimized TaSnSe4 structure, with properties calculated at the PBE level.

abc: 9.6440 9.6440 6.5436
angles: 103.54 103.54 132.30
Fractional coordinates of all 12 atoms:
Ta 0.0780 0.9220 0.7500
Ta 0.9220 0.0780 0.2500
Sn 0.4211 0.5789 0.2500
Sn 0.5789 0.4211 0.7500
Se 0.0602 0.4082 0.2716
Se 0.1882 0.2617 0.7248
Se 0.2617 0.1882 0.2248
Se 0.4082 0.0602 0.7716
Se 0.5918 0.9398 0.2284
Se 0.7383 0.8118 0.7752
Se 0.8118 0.7383 0.2752
Se 0.9398 0.5918 0.7284

Values from the calculation:
magnetic moment	0.0	μB per formula unit



*B*
Below is a geometry-optimized TaSnSe4 structure, with properties calculated at the PBE level.

abc: 14.7178 3.6992 6.8390
angles: 90.00 117.54 90.00
Fractional coordinates of all 12 atoms:
Ta 0.0000 0.0000 0.0000
Ta 0.5000 0.5000 0.0000
Sn 0.0000 0.5000 0.5000
Sn 0.5000 0.0000 0.5000
Se 0.1181 0.5000 0.9637
Se 0.1196 0.0000 0.4230
Se 0.3804 0.5000 0.5770
Se 0.3819 0.0000 0.0363
Se 0.6181 0.0000 0.9637
Se 0.6196 0.5000 0.4230
Se 0.8804 0.0000 0.5770
Se 0.8819 0.5000 0.0363

Values from the calculation:
magnetic moment	0.0	μB per formula unit



Tell me which of them is the most stable. Sure, it is *B*.



*A*
Below is a geometry-optimized Tc2SnSe structure, with properties calculated at the PBE level.

abc: 5.8885 5.8885 10.9952
angles: 90.00 90.00 90.00
Fractional coordinates of all 16 atoms:
Tc 0.2118 0.2500 0.1250
Tc 0.2500 0.7118 0.3750
Tc 0.2500 0.7882 0.8750
Tc 0.2882 0.2500 0.6250
Tc 0.7118 0.7500 0.6250
Tc 0.7500 0.2118 0.8750
Tc 0.7500 0.2882 0.3750
Tc 0.7882 0.7500 0.1250
Sn 0.0000 0.0000 0.5000
Sn 0.0000 0.5000 0.7500
Sn 0.5000 0.0000 0.2500
Sn 0.5000 0.5000 0.0000
Se 0.0000 0.0000 0.0000
Se 0.0000 0.5000 0.2500
Se 0.5000 0.0000 0.7500
Se 0.5000 0.5000 0.5000

Values from the calculation:
magnetic moment	0.0	μB per formula unit



*B*
Below is a geometry-optimized Tc2SnSe structure, with properties calculated at the PBE level.

abc: 6.4069 6.4069 6.4069
angles: 90.00 90.00 90.00
Fractional coordinates of all 16 atoms:
Tc 0.2500 0.2500 0.2500
Tc 0.2500 0.2500 0.7500
Tc 0.2500 0.7500 0.2500
Tc 0.2500 0.7500 0.7500
Tc 0.7500 0.2500 0.2500
Tc 0.7500 0.2500 0.7500
Tc 0.7500 0.7500 0.2500
Tc 0.7500 0.7500 0.7500
Sn 0.0000 0.0000 0.0000
Sn 0.0000 0.5000 0.5000
Sn 0.5000 0.0000 0.5000
Sn 0.5000 0.5000 0.0000
Se 0.0000 0.0000 0.5000
Se 0.0000 0.5000 0.0000
Se 0.5000 0.0000 0.0000
Se 0.5000 0.5000 0.5000

Values from the calculation:
magnetic moment	0.0	μB per formula unit



Tell me which of them is the most stable. Sure, it is *B*.



*A*
Below is a geometry-optimized Tc3SnSe structure, with properties calculated at the PBE level.

abc: 5.0402 5.0402 5.0402
angles: 90.00 90.00 90.00
Fractional coordinates of all 5 atoms:
Tc 0.0000 0.0000 0.5000
Tc 0.0000 0.5000 0.0000
Tc 0.5000 0.0000 0.0000
Sn 0.0000 0.0000 0.0000
Se 0.5000 0.5000 0.5000

Values from the calculation:
magnetic moment	8.9	μB per formula unit



*B*
Below is a geometry-optimized Tc3SnSe structure, with properties calculated at the PBE level.

abc: 4.5625 4.5625 4.5625
angles: 90.00 90.00 90.00
Fractional coordinates of all 5 atoms:
Tc 0.0000 0.0000 0.5000
Tc 0.0000 0.5000 0.0000
Tc 0.5000 0.0000 0.0000
Sn 0.5000 0.5000 0.5000
Se 0.0000 0.0000 0.0000

Values from the calculation:
magnetic moment	1.0	μB per formula unit



Tell me which of them is the most stable. Sure, it is *B*.



*A*
Below is a geometry-optimized TcSn3Se structure, with properties calculated at the PBE level.

abc: 5.1479 5.1479 5.1479
angles: 90.00 90.00 90.00
Fractional coordinates of all 5 atoms:
Tc 0.0000 0.0000 0.0000
Sn 0.0000 0.0000 0.5000
Sn 0.0000 0.5000 0.0000
Sn 0.5000 0.0000 0.0000
Se 0.5000 0.5000 0.5000

Values from the calculation:
magnetic moment	0.0	μB per formula unit



*B*
Below is a geometry-optimized TcSn3Se structure, with properties calculated at the PBE level.

abc: 5.4217 5.4217 5.4217
angles: 90.00 90.00 90.00
Fractional coordinates of all 5 atoms:
Tc 0.0000 0.0000 0.0000
Sn 0.0000 0.5000 0.5000
Sn 0.5000 0.0000 0.5000
Sn 0.5000 0.5000 0.0000
Se 0.5000 0.5000 0.5000

Values from the calculation:
magnetic moment	3.7	μB per formula unit



Tell me which of them is the most stable. Sure, it is *A*.



*A*
Below is a geometry-optimized TcSnSe structure, with properties calculated at the PBE level.

abc: 6.5218 6.5218 6.5218
angles: 90.00 90.00 90.00
Fractional coordinates of all 12 atoms:
Tc 0.0000 0.0000 0.0000
Tc 0.0000 0.5000 0.5000
Tc 0.5000 0.0000 0.5000
Tc 0.5000 0.5000 0.0000
Sn 0.2500 0.2500 0.7500
Sn 0.2500 0.7500 0.2500
Sn 0.7500 0.2500 0.2500
Sn 0.7500 0.7500 0.7500
Se 0.0000 0.0000 0.5000
Se 0.0000 0.5000 0.0000
Se 0.5000 0.0000 0.0000
Se 0.5000 0.5000 0.5000

Values from the calculation:
magnetic moment	1.4	μB per formula unit



*B*
Below is a geometry-optimized TcSnSe structure, with properties calculated at the PBE level.

abc: 3.3569 3.3569 12.5310
angles: 90.00 90.00 120.00
Fractional coordinates of all 6 atoms:
Tc 0.0000 0.0000 0.0000
Tc 0.0000 0.0000 0.5000
Sn 0.6667 0.3333 0.1554
Sn 0.6667 0.3333 0.8446
Se 0.3333 0.6667 0.3695
Se 0.3333 0.6667 0.6305

Values from the calculation:
magnetic moment	0.3	μB per formula unit



Tell me which of them is the most stable. Sure, it is *B*.



*A*
Below is a geometry-optimized Sn3TeSe6 structure, with properties calculated at the PBE level.

abc: 10.8873 4.0135 13.5428
angles: 90.00 96.00 90.00
Fractional coordinates of all 20 atoms:
Sn 0.0579 0.2500 0.1577
Sn 0.1410 0.7500 0.5626
Sn 0.4377 0.2500 0.6668
Sn 0.5623 0.7500 0.3332
Sn 0.8590 0.2500 0.4374
Sn 0.9421 0.7500 0.8423
Te 0.3376 0.7500 0.0505
Te 0.6624 0.2500 0.9495
Se 0.1000 0.2500 0.4154
Se 0.1616 0.2500 0.9749
Se 0.1855 0.2500 0.7009
Se 0.2329 0.7500 0.2212
Se 0.3763 0.7500 0.5255
Se 0.5003 0.2500 0.1304
Se 0.4997 0.7500 0.8696
Se 0.6237 0.2500 0.4745
Se 0.7671 0.2500 0.7788
Se 0.8145 0.7500 0.2991
Se 0.8384 0.7500 0.0251
Se 0.9000 0.7500 0.5846

Values from the calculation:
magnetic moment	0.0	μB per formula unit



*B*
Below is a geometry-optimized Sn3TeSe6 structure, with properties calculated at the PBE level.

abc: 12.6822 4.0108 12.9954
angles: 90.00 112.04 90.00
Fractional coordinates of all 20 atoms:
Sn 0.0821 0.2500 0.2415
Sn 0.3640 0.7500 0.4137
Sn 0.3804 0.2500 0.0623
Sn 0.6196 0.7500 0.9377
Sn 0.6360 0.2500 0.5863
Sn 0.9179 0.7500 0.7585
Te 0.2335 0.7500 0.7671
Te 0.7665 0.2500 0.2329
Se 0.0759 0.2500 0.6807
Se 0.2078 0.7500 0.9587
Se 0.2167 0.7500 0.1965
Se 0.2379 0.2500 0.4595
Se 0.4146 0.2500 0.8624
Se 0.4931 0.2500 0.3686
Se 0.5069 0.7500 0.6314
Se 0.5854 0.7500 0.1376
Se 0.7621 0.7500 0.5405
Se 0.7833 0.2500 0.8035
Se 0.7922 0.2500 0.0413
Se 0.9241 0.7500 0.3193

Values from the calculation:
magnetic moment	0.0	μB per formula unit



Tell me which of them is the most stable. Sure, it is *A*.